{
  "formula": "Sm2Er6Tm",
  "functional": "PBE",
  "state": "optimized geometry",
  "ef_kcal_per_mol_atoms": 2.6,
  "relative_energy_kj_per_mol_atoms": 8.7,
  "magmom_total_mub_per_fu": 0.0,
  "cell": [[6.3497, -7.0779, 0.0000], [6.3497, 7.0779, 0.0000], [-1.5816, 0.0000, 6.3101]],
  "species": ["Sm", "Sm", "Sm", "Sm", "Er", "Er", "Er", "Er", "Er", "Er", "Er", "Er", "Er", "Er", "Er", "Er", "Tm", "Tm"],
  "frac_coords": [[0.1181, 0.1676, 0.3725], [0.1676, 0.1181, 0.8725], [0.8324, 0.8819, 0.1275], [0.8819, 0.8324, 0.6275], [0.0394, 0.4403, 0.7291], [0.1513, 0.7758, 0.9957], [0.2242, 0.8487, 0.5043], [0.2777, 0.4576, 0.1864], [0.4403, 0.0394, 0.2291], [0.4576, 0.2777, 0.6864], [0.5424, 0.7223, 0.3136], [0.5597, 0.9606, 0.7709], [0.7223, 0.5424, 0.8136], [0.7758, 0.1513, 0.4957], [0.8487, 0.2242, 0.0043], [0.9606, 0.5597, 0.2709], [0.3824, 0.6176, 0.7500], [0.6176, 0.3824, 0.2500]]
}